#1
This record from Alexandria via LeMat-Bulk describes crystalline CeBeRh at its relaxed geometry. The functional is PBE-GGA.

a b c (Å): 7.109 4.368 6.436
angles (deg): 90.00 90.00 90.00
Space group Pnma (No. 62)
Unique sites:
Ce1 0.022 0.250 0.160
Be1 0.182 0.250 0.610
Rh1 0.143 0.750 0.432

Summary:
Crystal system ... orthorhombic

***

#2
This record from Alexandria via LeMat-Bulk describes crystalline CeBeRh at its relaxed geometry. The functional is PBE-GGA.

a b c (Å): 9.445 4.267 6.685
angles (deg): 90.00 131.59 90.00
Space group C2/m (No. 12)
Unique sites:
Ce1 0.249 0.000 0.163
Be1 0.068 0.000 0.409
Rh1 0.108 0.500 0.302

Summary:
Crystal system ... monoclinic

***

#3
This record from Alexandria via LeMat-Bulk describes crystalline CeBeRh at its relaxed geometry. The functional is PBE-GGA.

a b c (Å): 4.0203 4.0203 3.9106
angles (deg): 90.00 90.00 120.00
Space group P-6m2 (No. 187)
Unique sites:
Ce1 0.0000 0.0000 0.0000
Be1 0.3333 0.6667 0.5000
Rh1 0.6667 0.3333 0.5000

Summary:
Crystal system ... hexagonal

***

The most stable of them is #1.

***

#1
This record from Alexandria via LeMat-Bulk describes crystalline Ce2BeRu3 at its relaxed geometry. The functional is PBE-GGA.

a b c (Å): 5.6011 5.6011 11.2249
angles (deg): 90.00 90.00 120.00
Space group R-3m (No. 166, hexagonal axes)
Unique sites:
Ce1 0.0000 0.0000 0.1363
Be1 0.0000 0.0000 0.5000
Ru1 0.0000 0.5000 0.0000

Summary:
Crystal system ... trigonal

***

#2
This record from Alexandria via LeMat-Bulk describes crystalline Ce2BeRu3 at its relaxed geometry. The functional is PBE-GGA.

a b c (Å): 5.5866 5.5866 7.5230
angles (deg): 90.00 90.00 120.00
Space group P6_3/mmc (No. 194)
Unique sites:
Ce1 0.3333 0.6667 0.0535
Be1 0.0000 0.0000 0.0000
Ru1 0.1630 0.3259 0.7500

Summary:
Crystal system ... hexagonal

***

The most stable of them is #1.

***

#1
This record from Alexandria via LeMat-Bulk describes crystalline CeSc2Be at its relaxed geometry. The functional is PBE-GGA.

a b c (Å): 3.1451 3.1451 32.4589
angles (deg): 90.00 90.00 120.00
Space group R-3m (No. 166, hexagonal axes)
Unique sites:
Ce1 0.0000 0.0000 0.0000
Sc1 0.0000 0.0000 0.4164
Be1 0.0000 0.0000 0.5000

Summary:
Crystal system ... trigonal

***

#2
This record from Alexandria via LeMat-Bulk describes crystalline CeSc2Be at its relaxed geometry. The functional is PBE-GGA.

a b c (Å): 3.189 3.189 8.312
angles (deg): 90.00 90.00 90.00
Space group P4/mmm (No. 123)
Unique sites:
Ce1 0.000 0.000 0.000
Sc1 0.500 0.500 0.314
Be1 0.000 0.000 0.500

Summary:
Crystal system ... tetragonal

***

The most stable of them is #2.

***

#1
This record from Alexandria via LeMat-Bulk describes crystalline Ce3Be2Si4 at its relaxed geometry. The functional is PBE-GGA.

a b c (Å): 10.863 3.926 7.998
angles (deg): 90.00 96.60 90.00
Space group C2/m (No. 12)
Unique sites:
Ce1 0.000 0.000 0.000
Ce2 0.165 0.500 0.667
Be1 0.110 0.500 0.282
Si1 0.061 0.000 0.384
Si2 0.216 0.500 0.064

Summary:
Crystal system ... monoclinic

***

#2
This record from Alexandria via LeMat-Bulk describes crystalline Ce3Be2Si4 at its relaxed geometry. The functional is PBE-GGA.

a b c (Å): 10.888 3.980 8.211
angles (deg): 90.00 112.18 90.00
Space group C2/m (No. 12)
Unique sites:
Ce1 0.000 0.000 0.000
Ce2 0.105 0.500 0.671
Be1 0.181 0.500 0.314
Si1 0.129 0.000 0.404
Si2 0.227 0.500 0.064

Summary:
Crystal system ... monoclinic

***

The most stable of them is #1.

***

#1
This record from Alexandria via LeMat-Bulk describes crystalline Ce2BeSi3 at its relaxed geometry. The functional is PBE-GGA.

a b c (Å): 7.890 8.476 13.675
angles (deg): 90.00 90.00 90.00
Space group Fmmm (No. 69)
Unique sites:
Ce1 0.000 0.246 0.000
Ce2 0.250 0.250 0.250
Be1 0.000 0.000 0.333
Si1 0.000 0.000 0.173
Si2 0.240 0.000 0.414

Summary:
Crystal system ... orthorhombic

***

#2
This record from Alexandria via LeMat-Bulk describes crystalline Ce2BeSi3 at its relaxed geometry. The functional is PBE-GGA.

a b c (Å): 3.947 4.250 6.815
angles (deg): 90.00 90.00 90.00
Space group Pmm2 (No. 25)
Unique sites:
Ce1 0.000 0.000 0.000
Ce2 0.500 0.000 0.496
Be1 0.000 0.500 0.671
Si1 0.000 0.500 0.349
Si2 0.500 0.500 0.162
Si3 0.500 0.500 0.817

Summary:
Crystal system ... orthorhombic

***

The most stable of them is #1.

***

#1
This record from Alexandria via LeMat-Bulk describes crystalline CeTm2Be at its relaxed geometry. The functional is PBE-GGA.

a b c (Å): 3.3494 3.3494 33.2936
angles (deg): 90.00 90.00 120.00
Space group R-3m (No. 166, hexagonal axes)
Unique sites:
Ce1 0.0000 0.0000 0.0000
Tm1 0.0000 0.0000 0.4154
Be1 0.0000 0.0000 0.5000

Summary:
Crystal system ... trigonal

***

#2
This record from Alexandria via LeMat-Bulk describes crystalline CeTm2Be at its relaxed geometry. The functional is PBE-GGA.

a b c (Å): 3.368 3.368 8.624
angles (deg): 90.00 90.00 90.00
Space group P4/mmm (No. 123)
Unique sites:
Ce1 0.000 0.000 0.000
Tm1 0.500 0.500 0.309
Be1 0.000 0.000 0.500

Summary:
Crystal system ... tetragonal

***

The most stable of them is #2.